NaBeSe2 (PBE, relaxed); spin magnetization = 0.00 μB per formula unit; raw formation energy = -0.3304 eV/atom
1.0
2.097 1.211 7.502
-2.097 1.211 7.502
0.000 -2.421 7.502
Na Be Se
1 1 2
Direct
0.000 0.000 0.000 Na
0.500 0.500 0.500 Be
0.411 0.411 0.411 Se
0.589 0.589 0.589 Se